# CrCuSnPd

A relaxed structure of CrCuSnPd (PBE-GGA, Alexandria via LeMat-Bulk).

Summary:
energy of formation = -0.040 eV/atom
Fermi-level density of states = 13.21 states/eV/cell

Cell lengths 6.331, 6.331, 6.331 Å; angles 90.00, 90.00, 90.00 degrees
Space group F-43m (No. 216)
Asymmetric unit:
Cr (0.000, 0.000, 0.000) [4 per cell]
Cu (0.250, 0.250, 0.750) [4 per cell]
Sn (0.250, 0.250, 0.250) [4 per cell]
Pd (0.000, 0.000, 0.500) [4 per cell]